DFT (PBE-GGA) results for YHgBr2 after structural relaxation.

abc: 4.861 3.960 8.031
angles: 90.00 107.23 90.00
Fractional positions:
1 Y 0.000 0.000 0.000
2 Hg 0.549 0.500 0.100
3 Br 0.168 0.000 0.343
4 Br 0.870 0.500 0.734

Results
The value obtained for the magnetization is 0.00 Bohr magnetons per cell. For the raw formation energy, the calculation gives -4.2 eV per formula unit. As for the raw total energy: -3.57 eV per atom. Its energy above the lowest structure with this stoichiometry is 0.56 eV/f.u.